A:
Below is an optimized crystal structure of SrCrRh2, with properties calculated at the GGA-PBEsol level.

Unit cell a=4.0749 b=4.0749 c=17.0200 alpha=90.00 beta=90.00 gamma=120.00
Space group R3m (No. 160, hexagonal axes)
Inequivalent atoms, fractional coordinates:
Sr 0.0000 0.0000 0.0000 x3
Cr 0.0000 0.0000 0.8129 x3
Rh 0.0000 0.0000 0.2050 x3
Rh 0.0000 0.0000 0.4676 x3

For the density, the calculation gives 7.0 Mg/m³. For the magnetic moment, the calculation gives 5.32 μB/cell.


B:
Below is an optimized crystal structure of SrCrRh2, with properties calculated at the GGA-PBEsol level.

Unit cell a=2.9295 b=4.3367 c=5.7583 alpha=90.00 beta=96.49 gamma=90.00
Space group Pm (No. 6)
Inequivalent atoms, fractional coordinates:
Sr 0.0000 0.0000 0.0000 x1
Cr 0.8670 0.5000 0.4110 x1
Rh 0.4245 0.0000 0.4888 x1
Rh 0.4450 0.5000 0.7544 x1

For the density, the calculation gives 7.9 Mg/m³. For the magnetic moment, the calculation gives 2.57 μB/cell.


Which one sits at the top of the stability order? A does.


A:
Below is an optimized crystal structure of CrTcRh2, with properties calculated at the GGA-PBEsol level.

Unit cell a=2.6434 b=2.6434 c=25.9955 alpha=90.00 beta=90.00 gamma=120.00
Space group R3m (No. 160, hexagonal axes)
Inequivalent atoms, fractional coordinates:
Cr 0.0000 0.0000 0.0000 x3
Tc 0.0000 0.0000 0.2494 x3
Rh 0.0000 0.0000 0.4993 x3
Rh 0.0000 0.0000 0.7439 x3

For the density, the calculation gives 11.3 Mg/m³. For the magnetic moment, the calculation gives 0.01 μB/cell.


B:
Below is an optimized crystal structure of CrTcRh2, with properties calculated at the GGA-PBEsol level.

Unit cell a=2.6396 b=3.7654 c=5.2538 alpha=90.00 beta=90.00 gamma=90.00
Space group Pmmm (No. 47)
Inequivalent atoms, fractional coordinates:
Cr 0.0000 0.0000 0.0000 x1
Tc 0.0000 0.0000 0.5000 x1
Rh 0.5000 0.5000 0.2458 x2

For the density, the calculation gives 11.3 Mg/m³. For the magnetic moment, the calculation gives 0.70 μB/cell.


Which one sits at the top of the stability order? B does.


A:
Below is an optimized crystal structure of CrTcRh2, with properties calculated at the GGA-PBEsol level.

Unit cell a=3.7231 b=3.7231 c=3.7724 alpha=90.00 beta=90.00 gamma=90.00
Space group P4/mmm (No. 123)
Inequivalent atoms, fractional coordinates:
Cr 0.0000 0.0000 0.0000 x1
Tc 0.5000 0.5000 0.0000 x1
Rh 0.0000 0.5000 0.5000 x2

For the density, the calculation gives 11.3 Mg/m³. For the magnetic moment, the calculation gives 0.51 μB/cell.


B:
Below is an optimized crystal structure of CrTcRh2, with properties calculated at the GGA-PBEsol level.

Unit cell a=5.9613 b=5.9613 c=5.9613 alpha=90.00 beta=90.00 gamma=90.00
Space group F-43m (No. 216)
Inequivalent atoms, fractional coordinates:
Cr 0.0000 0.0000 0.0000 x4
Tc 0.2500 0.2500 0.2500 x4
Rh 0.0000 0.0000 0.5000 x4
Rh 0.2500 0.2500 0.7500 x4

For the density, the calculation gives 11.2 Mg/m³. For the magnetic moment, the calculation gives 0.01 μB/cell.


C:
Below is an optimized crystal structure of CrTcRh2, with properties calculated at the GGA-PBEsol level.

Unit cell a=5.2669 b=7.5285 c=2.6402 alpha=90.00 beta=90.00 gamma=90.00
Space group Cmmm (No. 65)
Inequivalent atoms, fractional coordinates:
Cr 0.0000 0.0000 0.0000 x2
Tc 0.0000 0.5000 0.0000 x2
Rh 0.2500 0.2500 0.5000 x4

For the density, the calculation gives 11.3 Mg/m³. For the magnetic moment, the calculation gives 1.53 μB/cell.


D:
Below is an optimized crystal structure of CrTcRh2, with properties calculated at the GGA-PBEsol level.

Unit cell a=2.6496 b=4.2218 c=4.6448 alpha=90.00 beta=90.00 gamma=90.00
Space group Pmm2 (No. 25)
Inequivalent atoms, fractional coordinates:
Cr 0.0000 0.0000 0.0000 x1
Tc 0.0000 0.5000 0.3225 x1
Rh 0.5000 0.0000 0.4907 x1
Rh 0.5000 0.5000 0.8359 x1

For the density, the calculation gives 11.4 Mg/m³. For the magnetic moment, the calculation gives 0.00 μB/cell.


Which one sits at the top of the stability order? D does.


A:
Below is an optimized crystal structure of TlCr2Rh, with properties calculated at the GGA-PBEsol level.

Unit cell a=9.1021 b=2.8775 c=4.7064 alpha=90.00 beta=101.88 gamma=90.00
Space group C2/m (No. 12)
Inequivalent atoms, fractional coordinates:
Tl 0.0000 0.0000 0.0000 x2
Cr 0.2402 0.0000 0.6674 x4
Rh 0.0000 0.5000 0.5000 x2

For the density, the calculation gives 11.3 Mg/m³. For the magnetic moment, the calculation gives 0.00 μB/cell.


B:
Below is an optimized crystal structure of TlCr2Rh, with properties calculated at the GGA-PBEsol level.

Unit cell a=6.3023 b=6.3023 c=6.3023 alpha=90.00 beta=90.00 gamma=90.00
Space group Fm-3m (No. 225)
Inequivalent atoms, fractional coordinates:
Tl 0.0000 0.0000 0.0000 x4
Cr 0.2500 0.2500 0.2500 x8
Rh 0.0000 0.0000 0.5000 x4

For the density, the calculation gives 10.9 Mg/m³. For the magnetic moment, the calculation gives 27.23 μB/cell.


Which one sits at the top of the stability order? A does.


A:
Below is an optimized crystal structure of CrRh2W, with properties calculated at the GGA-PBEsol level.

Unit cell a=2.6782 b=3.7643 c=5.3363 alpha=90.00 beta=90.00 gamma=90.00
Space group Pmmm (No. 47)
Inequivalent atoms, fractional coordinates:
Cr 0.0000 0.0000 0.0000 x1
Rh 0.5000 0.5000 0.2412 x2
W 0.0000 0.0000 0.5000 x1

For the density, the calculation gives 13.6 Mg/m³. For the magnetic moment, the calculation gives 0.00 μB/cell.


B:
Below is an optimized crystal structure of CrRh2W, with properties calculated at the GGA-PBEsol level.

Unit cell a=3.7648 b=3.7648 c=7.5762 alpha=90.00 beta=90.00 gamma=90.00
Space group I4/mmm (No. 139)
Inequivalent atoms, fractional coordinates:
Cr 0.0000 0.0000 0.0000 x2
Rh 0.0000 0.5000 0.2500 x4
W 0.0000 0.0000 0.5000 x2

For the density, the calculation gives 13.7 Mg/m³. For the magnetic moment, the calculation gives 0.20 μB/cell.


Which one sits at the top of the stability order? B does.


A:
Below is an optimized crystal structure of ZnCrRh3, with properties calculated at the GGA-PBEsol level.

Unit cell a=4.4191 b=4.4191 c=4.4191 alpha=90.00 beta=90.00 gamma=90.00
Space group Pm-3m (No. 221)
Inequivalent atoms, fractional coordinates:
Zn 0.0000 0.0000 0.0000 x1
Cr 0.5000 0.5000 0.5000 x1
Rh 0.0000 0.0000 0.5000 x3

For the density, the calculation gives 8.2 Mg/m³. For the magnetic moment, the calculation gives 1.44 μB/cell.


B:
Below is an optimized crystal structure of ZnCrRh3, with properties calculated at the GGA-PBEsol level.

Unit cell a=4.3613 b=4.3613 c=4.3613 alpha=90.00 beta=90.00 gamma=90.00
Space group Pm-3m (No. 221)
Inequivalent atoms, fractional coordinates:
Zn 0.0000 0.0000 0.0000 x1
Cr 0.5000 0.5000 0.5000 x1
Rh 0.0000 0.5000 0.5000 x3

For the density, the calculation gives 8.5 Mg/m³. For the magnetic moment, the calculation gives 0.00 μB/cell.


Which one sits at the top of the stability order? B does.


A:
Below is an optimized crystal structure of Zr2CrRh, with properties calculated at the GGA-PBEsol level.

Unit cell a=3.7866 b=3.7866 c=9.5459 alpha=90.00 beta=90.00 gamma=90.00
Space group I-4m2 (No. 119)
Inequivalent atoms, fractional coordinates:
Zr 0.0000 0.0000 0.0000 x2
Zr 0.0000 0.5000 0.2500 x2
Cr 0.0000 0.0000 0.5000 x2
Rh 0.0000 0.5000 0.7500 x2

For the density, the calculation gives 8.2 Mg/m³. For the magnetic moment, the calculation gives 3.39 μB/cell.


B:
Below is an optimized crystal structure of Zr2CrRh, with properties calculated at the GGA-PBEsol level.

Unit cell a=3.1111 b=3.1111 c=24.2451 alpha=90.00 beta=90.00 gamma=120.00
Space group R-3m (No. 166, hexagonal axes)
Inequivalent atoms, fractional coordinates:
Zr 0.0000 0.0000 0.2467 x6
Cr 0.0000 0.0000 0.5000 x3
Rh 0.0000 0.0000 0.0000 x3

For the density, the calculation gives 8.3 Mg/m³. For the magnetic moment, the calculation gives 0.02 μB/cell.


C:
Below is an optimized crystal structure of Zr2CrRh, with properties calculated at the GGA-PBEsol level.

Unit cell a=3.0463 b=4.3086 c=5.3388 alpha=90.00 beta=90.00 gamma=90.00
Space group Pmm2 (No. 25)
Inequivalent atoms, fractional coordinates:
Zr 0.0000 0.0000 0.0000 x1
Zr 0.5000 0.5000 0.3498 x1
Cr 0.0000 0.0000 0.4997 x1
Rh 0.5000 0.5000 0.8358 x1

For the density, the calculation gives 8.0 Mg/m³. For the magnetic moment, the calculation gives 1.85 μB/cell.


D:
Below is an optimized crystal structure of Zr2CrRh, with properties calculated at the GGA-PBEsol level.

Unit cell a=8.2608 b=2.9874 c=5.5897 alpha=90.00 beta=98.70 gamma=90.00
Space group C2/m (No. 12)
Inequivalent atoms, fractional coordinates:
Zr 0.2472 0.0000 0.2419 x4
Cr 0.0000 0.5000 0.0000 x2
Rh 0.0000 0.0000 0.5000 x2

For the density, the calculation gives 8.2 Mg/m³. For the magnetic moment, the calculation gives 1.17 μB/cell.


Which one sits at the top of the stability order? A does.


A:
Below is an optimized crystal structure of Cr5Ru, with properties calculated at the GGA-PBEsol level.

Unit cell a=8.9976 b=2.8400 c=5.7255 alpha=90.00 beta=108.56 gamma=90.00
Space group C2/m (No. 12)
Inequivalent atoms, fractional coordinates:
Cr 0.0000 0.0000 0.0000 x2
Cr 0.1698 0.5000 0.8444 x4
Cr 0.1737 0.5000 0.3265 x4
Ru 0.0000 0.0000 0.5000 x2

For the density, the calculation gives 8.6 Mg/m³. For the magnetic moment, the calculation gives 0.00 μB/cell.


B:
Below is an optimized crystal structure of Cr5Ru, with properties calculated at the GGA-PBEsol level.

Unit cell a=2.8487 b=11.9962 c=4.0691 alpha=90.00 beta=90.00 gamma=90.00
Space group Cmmm (No. 65)
Inequivalent atoms, fractional coordinates:
Cr 0.0000 0.0000 0.0000 x2
Cr 0.0000 0.1747 0.5000 x4
Cr 0.0000 0.3345 0.0000 x4
Ru 0.0000 0.5000 0.5000 x2

For the density, the calculation gives 8.6 Mg/m³. For the magnetic moment, the calculation gives 0.00 μB/cell.


Which one sits at the top of the stability order? A does.


A:
Below is an optimized crystal structure of CrSb2Ru, with properties calculated at the GGA-PBEsol level.

Unit cell a=3.2371 b=3.9898 c=5.5264 alpha=90.00 beta=90.00 gamma=90.00
Space group Pmm2 (No. 25)
Inequivalent atoms, fractional coordinates:
Cr 0.0000 0.0000 0.0000 x1
Sb 0.0000 0.0000 0.4856 x1
Sb 0.5000 0.5000 0.8511 x1
Ru 0.5000 0.5000 0.3355 x1

For the density, the calculation gives 9.2 Mg/m³. For the magnetic moment, the calculation gives 2.92 μB/cell.


B:
Below is an optimized crystal structure of CrSb2Ru, with properties calculated at the GGA-PBEsol level.

Unit cell a=6.6347 b=6.6347 c=6.6347 alpha=90.00 beta=90.00 gamma=90.00
Space group F-43m (No. 216)
Inequivalent atoms, fractional coordinates:
Cr 0.0000 0.0000 0.0000 x4
Sb 0.0000 0.0000 0.5000 x4
Sb 0.2500 0.2500 0.7500 x4
Ru 0.2500 0.2500 0.2500 x4

For the density, the calculation gives 9.0 Mg/m³. For the magnetic moment, the calculation gives 14.94 μB/cell.


Which one sits at the top of the stability order? A does.


A:
Below is an optimized crystal structure of ScCr2Ru, with properties calculated at the GGA-PBEsol level.

Unit cell a=2.7251 b=2.7251 c=25.8750 alpha=90.00 beta=90.00 gamma=120.00
Space group R-3m (No. 166, hexagonal axes)
Inequivalent atoms, fractional coordinates:
Sc 0.0000 0.0000 0.0000 x3
Cr 0.0000 0.0000 0.2442 x6
Ru 0.0000 0.0000 0.5000 x3

For the density, the calculation gives 7.5 Mg/m³. For the magnetic moment, the calculation gives 0.00 μB/cell.


B:
Below is an optimized crystal structure of ScCr2Ru, with properties calculated at the GGA-PBEsol level.

Unit cell a=2.7051 b=4.2086 c=4.8864 alpha=90.00 beta=103.04 gamma=90.00
Space group P2/m (No. 10)
Inequivalent atoms, fractional coordinates:
Sc 0.0000 0.0000 0.0000 x1
Cr 0.2573 0.5000 0.7429 x2
Ru 0.5000 0.0000 0.5000 x1

For the density, the calculation gives 7.7 Mg/m³. For the magnetic moment, the calculation gives 0.00 μB/cell.


Which one sits at the top of the stability order? B does.


A:
Below is an optimized crystal structure of SrCr2Ru, with properties calculated at the GGA-PBEsol level.

Unit cell a=6.2497 b=6.2497 c=6.2497 alpha=90.00 beta=90.00 gamma=90.00
Space group Fm-3m (No. 225)
Inequivalent atoms, fractional coordinates:
Sr 0.0000 0.0000 0.0000 x4
Cr 0.2500 0.2500 0.2500 x8
Ru 0.0000 0.0000 0.5000 x4

For the density, the calculation gives 8.0 Mg/m³. For the magnetic moment, the calculation gives 4.61 μB/cell.


B:
Below is an optimized crystal structure of SrCr2Ru, with properties calculated at the GGA-PBEsol level.

Unit cell a=3.2630 b=3.2630 c=6.9673 alpha=90.00 beta=90.00 gamma=90.00
Space group P4/mmm (No. 123)
Inequivalent atoms, fractional coordinates:
Sr 0.0000 0.0000 0.0000 x1
Cr 0.5000 0.5000 0.3577 x2
Ru 0.0000 0.0000 0.5000 x1

For the density, the calculation gives 6.6 Mg/m³. For the magnetic moment, the calculation gives 0.00 μB/cell.


Which one sits at the top of the stability order? B does.


A:
Below is an optimized crystal structure of Ta2CrRu, with properties calculated at the GGA-PBEsol level.

Unit cell a=2.8787 b=2.8787 c=25.7126 alpha=90.00 beta=90.00 gamma=120.00
Space group R3m (No. 160, hexagonal axes)
Inequivalent atoms, fractional coordinates:
Ta 0.0000 0.0000 0.0000 x3
Ta 0.0000 0.0000 0.2390 x3
Cr 0.0000 0.0000 0.4917 x3
Ru 0.0000 0.0000 0.7529 x3

For the density, the calculation gives 13.9 Mg/m³. For the magnetic moment, the calculation gives 0.00 μB/cell.


B:
Below is an optimized crystal structure of Ta2CrRu, with properties calculated at the GGA-PBEsol level.

Unit cell a=6.1954 b=6.1954 c=6.1954 alpha=90.00 beta=90.00 gamma=90.00
Space group Fm-3m (No. 225)
Inequivalent atoms, fractional coordinates:
Ta 0.2500 0.2500 0.2500 x8
Cr 0.0000 0.0000 0.0000 x4
Ru 0.0000 0.0000 0.5000 x4

For the density, the calculation gives 14.4 Mg/m³. For the magnetic moment, the calculation gives 0.00 μB/cell.


C:
Below is an optimized crystal structure of Ta2CrRu, with properties calculated at the GGA-PBEsol level.

Unit cell a=3.0875 b=3.0875 c=6.2201 alpha=90.00 beta=90.00 gamma=90.00
Space group P4/mmm (No. 123)
Inequivalent atoms, fractional coordinates:
Ta 0.0000 0.0000 0.2397 x2
Cr 0.5000 0.5000 0.0000 x1
Ru 0.5000 0.5000 0.5000 x1

For the density, the calculation gives 14.4 Mg/m³. For the magnetic moment, the calculation gives 0.00 μB/cell.


D:
Below is an optimized crystal structure of Ta2CrRu, with properties calculated at the GGA-PBEsol level.

Unit cell a=2.7955 b=4.3475 c=5.0397 alpha=90.00 beta=101.32 gamma=90.00
Space group Pm (No. 6)
Inequivalent atoms, fractional coordinates:
Ta 0.0000 0.0000 0.0000 x1
Ta 0.2698 0.5000 0.7197 x1
Cr 0.7680 0.5000 0.2184 x1
Ru 0.5195 0.0000 0.4865 x1

For the density, the calculation gives 14.2 Mg/m³. For the magnetic moment, the calculation gives 0.00 μB/cell.


Which one sits at the top of the stability order? C does.